VASP calculation (PBE) on a relaxed structure of ZrMn2Zn.

a = 5.133 Å, b = 5.133 Å, c = 2.847 Å
α = 77.38°, β = 77.38°, γ = 113.61°
Atoms (fractional coordinates):
Zr 0.000 0.500 0.500
Mn 0.500 0.500 0.000
Mn 0.000 0.000 0.000
Zn 0.500 0.000 0.500

Computed properties:
**Calculated volume**: 63 Å³ per cell
**Total magnetization**: 4.8 Bohr magnetons per cell
**Formation energy from the elements**: 0.216 eV per atom